{
  "formula": "SrSmMnSnO6",
  "functional": "GGA+U",
  "state": "optimized geometry",
  "lattice": [[0.000, 4.015, 4.015], [4.015, 0.000, 4.015], [4.015, 4.015, 0.000]],
  "species": ["Mn", "O", "O", "Sn", "O", "O", "Sr", "O", "Sm", "O"],
  "frac_coords": [[0.000, 0.000, 0.000], [0.247, 0.753, 0.753], [0.753, 0.753, 0.247], [0.500, 0.500, 0.500], [0.247, 0.753, 0.247], [0.753, 0.247, 0.753], [0.750, 0.750, 0.750], [0.753, 0.247, 0.247], [0.250, 0.250, 0.250], [0.247, 0.247, 0.753]],
  "magmom_total_mub_per_cell": 4.00,
  "e_tot_ev_per_atom": -6.96,
  "dos_ef_per_ev_cell": 1.6
}